DFT (PBE) results for a relaxed Sc5In2AgPt2 crystal.

Calculated values
M_tot: 0.00 μB per cell
Crystal system: tetragonal
DFT total energy: -117.51 eV for the cell shown

```
Sc5In2AgPt2
1.0
3.384 0.000 0.000
0.000 11.322 0.000
0.000 0.000 11.322
Sc Pt Ag In
10 4 2 4
Cartesian
1.692 10.536 2.254
1.692 7.915 4.875
1.692 2.254 0.786
1.692 6.447 7.915
1.692 0.786 9.068
1.692 5.661 0.000
1.692 0.000 5.661
1.692 9.068 10.536
1.692 3.407 6.447
1.692 4.875 3.407
0.000 9.838 4.177
0.000 4.177 1.484
0.000 1.484 7.145
0.000 7.145 9.838
0.000 0.000 0.000
0.000 5.661 5.661
0.000 1.965 3.696
0.000 7.626 1.965
0.000 3.696 9.357
0.000 9.357 7.626
```